Computed, not measured: a crystal of Na3Ca2BiO6 relaxed with PBEsol at the SCAN level of DFT.

a b c (Å): 11.070 10.520 5.861
angles (deg): 79.49 69.14 31.37
Positions (direct):
Na: 0.038 0.038 0.712
Na: 0.125 0.125 0.125
Na: 0.288 0.288 0.962
Na: 0.712 0.712 0.038
Na: 0.875 0.875 0.875
Na: 0.962 0.962 0.288
Ca: 0.206 0.206 0.544
Ca: 0.456 0.456 0.794
Ca: 0.544 0.544 0.206
Ca: 0.794 0.794 0.456
Bi: 0.375 0.375 0.375
Bi: 0.625 0.625 0.625
O: 0.068 0.527 0.673
O: 0.151 0.599 0.151
O: 0.232 0.673 0.527
O: 0.327 0.768 0.932
O: 0.401 0.849 0.401
O: 0.473 0.932 0.768
O: 0.527 0.068 0.232
O: 0.599 0.151 0.599
O: 0.673 0.232 0.068
O: 0.768 0.327 0.473
O: 0.849 0.401 0.849
O: 0.932 0.473 0.327

- density (g cm⁻³) = 4.691
- ΔE_f (raw) (eV per atom) = -2.10
- crystal system = orthorhombic

---

Computed, not measured: a crystal of HgTeCl2 relaxed with PBEsol at the SCAN level of DFT.

a b c (Å): 5.073 5.073 5.073
angles (deg): 60.00 60.00 60.00
Positions (direct):
Hg: 0.000 0.000 0.000
Te: 0.500 0.500 0.500
Cl: 0.250 0.250 0.250
Cl: 0.750 0.750 0.750

- density (g cm⁻³) = 7.178
- ΔE_f (raw) (eV per atom) = 0.23
- crystal system = cubic
- offset from the most stable computed form (meV per atom) = 355